1.
Tb2PtI | PBE | relaxed

- excess energy over the best structure of this formula in the dataset (eV/atom) = 0.0171
- total magnetization (μB/atom) = 0.00

a b c (Å): 8.3296 8.3296 8.3296
angles (deg): 29.01 29.01 29.01
Element x y z (fractional)
Tb: 0.0000 0.0000 0.0000
Tb: 0.2125 0.2125 0.2125
Pt: 0.6060 0.6060 0.6060
I: 0.4369 0.4369 0.4369

2.
Tb3PtI7 | PBE | relaxed

- E (hartree per atom) = -0.149
- total magnetization (μB/atom) = 0.00

a b c (Å): 8.5923 8.5923 7.4767
angles (deg): 90.00 90.00 120.00
Element x y z (fractional)
Tb: 0.0243 0.5121 0.0000
Tb: 0.4879 0.5121 0.0000
Tb: 0.4879 0.9757 0.0000
Pt: 0.3333 0.6667 0.2029
I: 0.1673 0.3347 0.7465
I: 0.1673 0.8327 0.7465
I: 0.3351 0.1675 0.2268
I: 0.6653 0.8327 0.7465
I: 0.6667 0.3333 0.7590
I: 0.8325 0.1675 0.2268
I: 0.8325 0.6649 0.2268

3.
TbPtI2 | PBE | relaxed

- E (hartree per atom) = -0.137
- total magnetization (μB/atom) = 0.00

a b c (Å): 9.5650 9.5650 9.5650
angles (deg): 23.85 23.85 23.85
Element x y z (fractional)
Tb: 0.0000 0.0000 0.0000
Pt: 0.5000 0.5000 0.5000
I: 0.4081 0.4081 0.4081
I: 0.5919 0.5919 0.5919

4.
Tb2PtI | PBE | relaxed

- excess energy over the best structure of this formula in the dataset (eV/atom) = 0.0000
- total magnetization (μB/atom) = 0.00

a b c (Å): 8.2683 8.2683 8.2683
angles (deg): 29.19 29.19 29.19
Element x y z (fractional)
Tb: 0.2281 0.2281 0.2281
Tb: 0.7719 0.7719 0.7719
Pt: 0.5000 0.5000 0.5000
I: 0.0000 0.0000 0.0000

5.
Tb2PtI2 | PBE | relaxed

- E (hartree per atom) = -0.182
- total magnetization (μB/atom) = 0.00

a b c (Å): 11.9394 11.9394 11.9394
angles (deg): 19.95 19.95 19.95
Element x y z (fractional)
Tb: 0.1219 0.1219 0.1219
Tb: 0.8781 0.8781 0.8781
Pt: 0.5000 0.5000 0.5000
I: 0.2727 0.2727 0.2727
I: 0.7273 0.7273 0.7273

6.
Tb2PtI3 | PBE | relaxed

- E (hartree per atom) = -0.166
- total magnetization (μB/atom) = 0.00

a b c (Å): 9.5125 9.5125 12.4779
angles (deg): 120.54 120.54 25.97
Element x y z (fractional)
Tb: 0.0978 0.0978 0.4348
Tb: 0.3607 0.3607 0.2004
Tb: 0.6393 0.6393 0.7996
Tb: 0.9022 0.9022 0.5652
Pt: 0.0665 0.0665 0.6313
Pt: 0.9335 0.9335 0.3687
I: 0.1621 0.1621 0.0161
I: 0.2713 0.2713 0.3817
I: 0.4559 0.4559 0.7756
I: 0.5441 0.5441 0.2244
I: 0.7287 0.7287 0.6183
I: 0.8379 0.8379 0.9839

7.
Tb3PtI3 | PBE | relaxed

- E (hartree per atom) = -0.173
- total magnetization (μB/atom) = 0.00

a b c (Å): 9.1397 4.1768 12.3413
angles (deg): 90.00 92.53 90.00
Element x y z (fractional)
Tb: 0.1066 0.2500 0.3336
Tb: 0.1152 0.2500 0.8764
Tb: 0.2930 0.7500 0.1119
Tb: 0.7070 0.2500 0.8881
Tb: 0.8848 0.7500 0.1236
Tb: 0.8934 0.7500 0.6664
Pt: 0.0916 0.2500 0.1103
Pt: 0.9084 0.7500 0.8897
I: 0.1407 0.2500 0.6084
I: 0.3643 0.7500 0.3686
I: 0.4032 0.7500 0.8669
I: 0.5968 0.2500 0.1331
I: 0.6357 0.2500 0.6314
I: 0.8593 0.7500 0.3916

8.
Tb7PtI12 | PBE | relaxed

- E (hartree per atom) = -0.152
- total magnetization (μB/atom) = 0.04

a b c (Å): 9.8083 9.8083 9.8083
angles (deg): 107.46 107.46 107.46
Element x y z (fractional)
Tb: 0.0000 0.0000 0.0000
Tb: 0.1952 0.3973 0.4686
Tb: 0.3973 0.4686 0.1952
Tb: 0.4686 0.1952 0.3973
Tb: 0.5314 0.8048 0.6027
Tb: 0.6027 0.5314 0.8048
Tb: 0.8048 0.6027 0.5314
Pt: 0.5000 0.5000 0.5000
I: 0.0299 0.3414 0.1094
I: 0.1094 0.0299 0.3414
I: 0.1795 0.7242 0.5738
I: 0.2758 0.4262 0.8205
I: 0.3414 0.1094 0.0299
I: 0.4262 0.8205 0.2758
I: 0.5738 0.1795 0.7242
I: 0.6586 0.8906 0.9701
I: 0.7242 0.5738 0.1795
I: 0.8205 0.2758 0.4262
I: 0.8906 0.9701 0.6586
I: 0.9701 0.6586 0.8906

9.
Tb2PtI | PBE | relaxed

- excess energy over the best structure of this formula in the dataset (eV/atom) = 0.0184
- total magnetization (μB/atom) = 0.00

a b c (Å): 4.2164 4.2164 8.3642
angles (deg): 90.58 90.58 59.98
Element x y z (fractional)
Tb: 0.0000 0.0000 0.0000
Tb: 0.6622 0.6622 0.6589
Pt: 0.3314 0.3314 0.8366
I: 0.9925 0.9925 0.3824

10.
Tc3PtI | PBE | relaxed

- excess energy over the best structure of this formula in the dataset (eV/atom) = 0.0000
- total magnetization (μB/atom) = 1.87

a b c (Å): 4.9780 4.9780 4.9780
angles (deg): 90.00 90.00 90.00
Element x y z (fractional)
Tc: 0.0000 0.0000 0.5000
Tc: 0.0000 0.5000 0.0000
Tc: 0.5000 0.0000 0.0000
Pt: 0.0000 0.0000 0.0000
I: 0.5000 0.5000 0.5000

11.
Tc2PtI | PBE | relaxed

- excess energy over the best structure of this formula in the dataset (eV/atom) = 0.4507
- total magnetization (μB/atom) = 0.00

a b c (Å): 7.2061 7.2061 7.2061
angles (deg): 133.20 133.20 68.34
Element x y z (fractional)
Tc: 0.1031 0.6250 0.9781
Tc: 0.3750 0.3531 0.4781
Tc: 0.6469 0.1250 0.0219
Tc: 0.8750 0.8969 0.5219
Pt: 0.0000 0.0000 0.0000
Pt: 0.7500 0.2500 0.5000
I: 0.2500 0.7500 0.5000
I: 0.5000 0.5000 0.0000

12.
TcPt2I | PBE | relaxed

- excess energy over the best structure of this formula in the dataset (eV/atom) = 0.0736
- total magnetization (μB/atom) = 0.57

a b c (Å): 4.7020 4.7020 4.7020
angles (deg): 60.00 60.00 60.00
Element x y z (fractional)
Tc: 0.0000 0.0000 0.0000
Pt: 0.2500 0.2500 0.2500
Pt: 0.7500 0.7500 0.7500
I: 0.5000 0.5000 0.5000